# 1
# Rb2CdBF6, optimized geometry, DFT PBE
# Uncorrected formation energy   -2.21 eV/atom
# Volume   152.54 Å³/f.u.
data_Rb2CdBF6
_cell_length_a 8.482
_cell_length_b 8.482
_cell_length_c 8.482
_cell_angle_alpha 90.00
_cell_angle_beta 90.00
_cell_angle_gamma 90.00
_symmetry_space_group_name_H-M 'F m -3 m'
_symmetry_Int_Tables_number 225
_symmetry_space_group_name_Hall '-F 4 2 3'
loop_
_atom_site_label
_atom_site_type_symbol
_atom_site_fract_x
_atom_site_fract_y
_atom_site_fract_z
Rb1 Rb 0.250 0.250 0.250
Cd1 Cd 0.000 0.000 0.000
B1 B 0.000 0.000 0.500
F1 F 0.000 0.000 0.304

# 2
# MgTePd, optimized geometry, DFT PBE
# Uncorrected formation energy   -0.55 eV/atom
# Volume   68.00 Å³/f.u.
data_MgTePd
_cell_length_a 4.095
_cell_length_b 5.619
_cell_length_c 5.915
_cell_angle_alpha 87.77
_cell_angle_beta 89.94
_cell_angle_gamma 89.96
_symmetry_space_group_name_H-M 'P 1'
_symmetry_Int_Tables_number 1
loop_
_symmetry_equiv_pos_as_xyz
'x,y,z'
loop_
_atom_site_label
_atom_site_type_symbol
_atom_site_fract_x
_atom_site_fract_y
_atom_site_fract_z
Mg1 Mg 0.000 0.000 0.000
Mg2 Mg 0.002 0.523 0.621
Te1 Te 0.000 0.038 0.487
Te2 Te 0.500 0.422 0.999
Pd1 Pd 0.499 0.791 0.260
Pd2 Pd 0.500 0.820 0.742

# 3
# Ba3P, optimized geometry, DFT PBE
# Formation energy from the elements   -2.10 eV per formula unit
# Offset from the most stable computed form   58.7 meV per atom
# Volume   202.51 Å³/f.u.
data_Ba3P
_cell_length_a 11.945
_cell_length_b 15.437
_cell_length_c 4.393
_cell_angle_alpha 90.00
_cell_angle_beta 90.00
_cell_angle_gamma 90.00
_symmetry_space_group_name_H-M 'C m c m'
_symmetry_Int_Tables_number 63
_symmetry_space_group_name_Hall '-C 2c 2'
loop_
_atom_site_label
_atom_site_type_symbol
_atom_site_fract_x
_atom_site_fract_y
_atom_site_fract_z
Ba1 Ba 0.000 0.133 0.250
Ba2 Ba 0.164 0.365 0.250
P1 P 0.000 0.279 0.750

# 4
# UMnPbSe4, optimized geometry, DFT PBE
# Uncorrected formation energy   -0.67 eV/atom
# Volume   184.42 Å³/f.u.
data_UMnPbSe4
_cell_length_a 6.876
_cell_length_b 6.631
_cell_length_c 8.508
_cell_angle_alpha 90.00
_cell_angle_beta 108.06
_cell_angle_gamma 90.00
_symmetry_space_group_name_H-M 'P 1 21/m 1'
_symmetry_Int_Tables_number 11
loop_
_symmetry_equiv_pos_as_xyz
'x,y,z'
'-x,-y,-z'
'-x,y+1/2,-z'
'x,-y+1/2,z'
loop_
_atom_site_label
_atom_site_type_symbol
_atom_site_fract_x
_atom_site_fract_y
_atom_site_fract_z
U1 U 0.226 0.250 0.052
Mn1 Mn 0.235 0.750 0.821
Pb1 Pb 0.264 0.250 0.551
Se1 Se 0.023 0.512 0.229
Se2 Se 0.436 0.750 0.630
Se3 Se 0.451 0.750 0.104

# 5
# CsKTlSn, optimized geometry, DFT PBE
# Formation energy from the elements   -0.27 eV per formula unit
# Volume   152.83 Å³/f.u.
data_CsKTlSn
_cell_length_a 8.487
_cell_length_b 8.487
_cell_length_c 8.487
_cell_angle_alpha 90.00
_cell_angle_beta 90.00
_cell_angle_gamma 90.00
_symmetry_space_group_name_H-M 'F -4 3 m'
_symmetry_Int_Tables_number 216
_symmetry_space_group_name_Hall 'F -4 2 3'
loop_
_atom_site_label
_atom_site_type_symbol
_atom_site_fract_x
_atom_site_fract_y
_atom_site_fract_z
Cs1 Cs 0.000 0.000 0.000
K1 K 0.250 0.250 0.250
Tl1 Tl 0.250 0.250 0.750
Sn1 Sn 0.000 0.000 0.500

# 6
# Sm6Ho8Al, optimized geometry, DFT PBE
# Formation energy from the elements   1.24 eV per formula unit
# Volume   478.92 Å³/f.u.
data_Sm6Ho8Al
_cell_length_a 9.4260
_cell_length_b 9.4260
_cell_length_c 6.2241
_cell_angle_alpha 90.00
_cell_angle_beta 90.00
_cell_angle_gamma 120.00
_symmetry_space_group_name_H-M 'P -3'
_symmetry_Int_Tables_number 147
loop_
_symmetry_equiv_pos_as_xyz
'x,y,z'
'-x,-y,-z'
'-y,x-y,z'
'y,-x+y,-z'
'-x+y,-x,z'
'x-y,x,-z'
loop_
_atom_site_label
_atom_site_type_symbol
_atom_site_fract_x
_atom_site_fract_y
_atom_site_fract_z
Sm1 Sm 0.0910 0.6365 0.3079
Ho1 Ho 0.0403 0.7822 0.8005
Ho2 Ho 0.3333 0.6667 0.8124
Al1 Al 0.0000 0.0000 0.5000

# 7
# Sm2Y3Mg8, optimized geometry, DFT PBE
# Formation energy from the elements   1.38 eV per formula unit
# Volume   372.08 Å³/f.u.
data_Sm2Y3Mg8
_cell_length_a 5.8945
_cell_length_b 5.8945
_cell_length_c 37.0962
_cell_angle_alpha 90.00
_cell_angle_beta 90.00
_cell_angle_gamma 120.00
_symmetry_space_group_name_H-M 'R -3 m'
_symmetry_Int_Tables_number 166
_symmetry_space_group_name_Hall '-R 3 2"'
loop_
_atom_site_label
_atom_site_type_symbol
_atom_site_fract_x
_atom_site_fract_y
_atom_site_fract_z
Sm1 Sm 0.0000 0.0000 0.1389
Y1 Y 0.0000 0.0000 0.3157
Y2 Y 0.0000 0.0000 0.5000
Mg1 Mg 0.0000 0.0000 0.2254
Mg2 Mg 0.0012 0.5006 0.2717

# 8
# CoPOs, optimized geometry, DFT PBE
# Formation energy from the elements   -0.65 eV per formula unit
# Offset from the most stable computed form   0.0 meV per atom
# Volume   39.20 Å³/f.u.
data_CoPOs
_cell_length_a 5.392
_cell_length_b 5.392
_cell_length_c 5.392
_cell_angle_alpha 90.00
_cell_angle_beta 90.00
_cell_angle_gamma 90.00
_symmetry_space_group_name_H-M 'F -4 3 m'
_symmetry_Int_Tables_number 216
_symmetry_space_group_name_Hall 'F -4 2 3'
loop_
_atom_site_label
_atom_site_type_symbol
_atom_site_fract_x
_atom_site_fract_y
_atom_site_fract_z
Co1 Co 0.000 0.000 0.000
P1 P 0.250 0.250 0.250
Os1 Os 0.000 0.000 0.500

# 9
# BaCuP2, optimized geometry, DFT PBE
# Formation energy from the elements   -0.94 eV per formula unit
# Volume   88.26 Å³/f.u.
data_BaCuP2
_cell_length_a 4.3385
_cell_length_b 4.3385
_cell_length_c 16.2438
_cell_angle_alpha 90.00
_cell_angle_beta 90.00
_cell_angle_gamma 120.00
_symmetry_space_group_name_H-M 'R 3 m'
_symmetry_Int_Tables_number 160
_symmetry_space_group_name_Hall 'R 3 -2"'
loop_
_atom_site_label
_atom_site_type_symbol
_atom_site_fract_x
_atom_site_fract_y
_atom_site_fract_z
Ba1 Ba 0.0000 0.0000 0.0000
Cu1 Cu 0.0000 0.0000 0.1926
P1 P 0.0000 0.0000 0.5138
P2 P 0.0000 0.0000 0.8068

# 10
# CsUF6, optimized geometry, DFT PBE
# Uncorrected formation energy   -3.47 eV/atom
# Offset from the most stable computed form   16.0 meV per atom
# Volume   176.61 Å³/f.u.
data_CsUF6
_cell_length_a 11.597
_cell_length_b 5.430
_cell_length_c 11.385
_cell_angle_alpha 90.00
_cell_angle_beta 99.82
_cell_angle_gamma 90.00
_symmetry_space_group_name_H-M 'C 1 2/c 1'
_symmetry_Int_Tables_number 15
loop_
_symmetry_equiv_pos_as_xyz
'x,y,z'
'-x,-y,-z'
'-x,y,-z+1/2'
'x,-y,z+1/2'
'x+1/2,y+1/2,z'
'-x+1/2,-y+1/2,-z'
'-x+1/2,y+1/2,-z+1/2'
'x+1/2,-y+1/2,z+1/2'
loop_
_atom_site_label
_atom_site_type_symbol
_atom_site_fract_x
_atom_site_fract_y
_atom_site_fract_z
Cs1 Cs 0.000 0.138 0.250
U1 U 0.250 0.250 0.000
F1 F 0.104 0.408 0.893
F2 F 0.142 0.044 0.527
F3 F 0.211 0.417 0.154

# 11
# PuMn2GeC, optimized geometry, DFT PBE
# Formation energy from the elements   -0.98 eV per formula unit
# Volume   72.04 Å³/f.u.
data_PuMn2GeC
_cell_length_a 3.749
_cell_length_b 10.851
_cell_length_c 7.083
_cell_angle_alpha 90.00
_cell_angle_beta 90.00
_cell_angle_gamma 90.00
_symmetry_space_group_name_H-M 'C m c m'
_symmetry_Int_Tables_number 63
_symmetry_space_group_name_Hall '-C 2c 2'
loop_
_atom_site_label
_atom_site_type_symbol
_atom_site_fract_x
_atom_site_fract_y
_atom_site_fract_z
Pu1 Pu 0.000 0.040 0.250
Mn1 Mn 0.000 0.334 0.062
Ge1 Ge 0.000 0.238 0.750
C1 C 0.000 0.500 0.000

# 12
# Ba6NaAg3, optimized geometry, DFT PBE
# Formation energy from the elements   -1.09 eV per formula unit
# Volume   467.34 Å³/f.u.
data_Ba6NaAg3
_cell_length_a 13.318
_cell_length_b 4.812
_cell_length_c 15.605
_cell_angle_alpha 90.00
_cell_angle_beta 110.83
_cell_angle_gamma 90.00
_symmetry_space_group_name_H-M 'P 1 21/m 1'
_symmetry_Int_Tables_number 11
loop_
_symmetry_equiv_pos_as_xyz
'x,y,z'
'-x,-y,-z'
'-x,y+1/2,-z'
'x,-y+1/2,z'
loop_
_atom_site_label
_atom_site_type_symbol
_atom_site_fract_x
_atom_site_fract_y
_atom_site_fract_z
Ba1 Ba 0.013 0.250 0.391
Ba2 Ba 0.059 0.250 0.903
Ba3 Ba 0.228 0.750 0.312
Ba4 Ba 0.332 0.750 0.083
Ba5 Ba 0.332 0.750 0.803
Ba6 Ba 0.376 0.250 0.558
Na1 Na 0.423 0.250 0.284
Ag1 Ag 0.158 0.250 0.143
Ag2 Ag 0.188 0.750 0.526
Ag3 Ag 0.436 0.250 0.977

The records above give, respectively, total DFT energy (no corrections) values of -0.1575, -0.1419, -0.1220, -0.2248, -0.0789, -0.1652, -0.1137, -0.2989, -0.1633, -0.2347, -0.3491, -0.0827 Ha/atom.
The records above give, respectively, M_tot values of 0.0, 0.0, 0.0, 14.1, 0.0, 0.0, 4.7, 0.0, 0.0, 4.0, 31.5, 0.1 μB/cell.